# 1
{
  "formula": "LaMgIn",
  "functional": "PBE",
  "state": "relaxed",
  "mass_density_g_cm3": 5.5,
  "e_tot_ev_per_cell": -10.1,
  "ef_mev_per_atom": -277,
  "crystal_system": "tetragonal",
  "cell": [[-1.7925, 1.7925, 6.5166], [1.7925, -1.7925, 6.5166], [1.7925, 1.7925, -6.5166]],
  "species": ["La", "Mg", "In"],
  "frac_coords": [[0.0000, 0.0000, 0.0000], [0.3127, 0.3127, 0.0000], [0.6781, 0.6781, 0.0000]]
}

---

# 2
{
  "formula": "La2MgIn",
  "functional": "PBE",
  "state": "relaxed",
  "mass_density_g_cm3": 5.4,
  "e_tot_ev_per_cell": -28.1,
  "ef_mev_per_atom": 32,
  "crystal_system": "tetragonal",
  "cell": [[-4.5070, 4.5070, 3.1808], [4.5070, -4.5070, 3.1808], [4.5070, 4.5070, -3.1808]],
  "species": ["La", "La", "La", "La", "Mg", "Mg", "In", "In"],
  "frac_coords": [[0.1241, 0.6250, 0.9991], [0.3750, 0.3741, 0.4991], [0.6259, 0.1250, 0.0009], [0.8750, 0.8759, 0.5009], [0.2500, 0.7500, 0.5000], [0.5000, 0.5000, 0.0000], [0.0000, 0.0000, 0.0000], [0.7500, 0.2500, 0.5000]]
}

---

# 3
{
  "formula": "La2Mg2In",
  "functional": "PBE",
  "state": "relaxed",
  "mass_density_g_cm3": 5.1,
  "e_tot_ev_per_cell": -34.0,
  "ef_mev_per_atom": -244,
  "crystal_system": "monoclinic",
  "cell": [[5.7835, -2.6290, 0.0000], [5.7835, 2.6290, 0.0000], [-2.8123, 0.0000, 9.4959]],
  "species": ["La", "La", "La", "La", "Mg", "Mg", "Mg", "Mg", "In", "In"],
  "frac_coords": [[0.0506, 0.0506, 0.3570], [0.1749, 0.1749, 0.0601], [0.8251, 0.8251, 0.9399], [0.9494, 0.9494, 0.6430], [0.3630, 0.3630, 0.4143], [0.4890, 0.4890, 0.1428], [0.5110, 0.5110, 0.8572], [0.6370, 0.6370, 0.5857], [0.2551, 0.2551, 0.7015], [0.7449, 0.7449, 0.2985]]
}

---

# 4
{
  "formula": "La2MgIn",
  "functional": "PBE",
  "state": "relaxed",
  "mass_density_g_cm3": 5.8,
  "e_tot_ev_per_cell": -14.8,
  "ef_mev_per_atom": -157,
  "crystal_system": "orthorhombic",
  "cell": [[3.6010, 0.0000, 0.0000], [0.0000, 4.7729, 0.0000], [0.0000, 0.0000, 6.9261]],
  "species": ["La", "La", "Mg", "In"],
  "frac_coords": [[0.0000, 0.0000, 0.0000], [0.5000, 0.5000, 0.2456], [0.0000, 0.0000, 0.5083], [0.5000, 0.5000, 0.7408]]
}

---

# 5
{
  "formula": "La5Mg4In4",
  "functional": "PBE",
  "state": "relaxed",
  "mass_density_g_cm3": 5.4,
  "e_tot_ev_per_cell": -46.4,
  "ef_mev_per_atom": -340,
  "crystal_system": "tetragonal",
  "cell": [[-6.3794, 6.3794, 2.3768], [6.3794, -6.3794, 2.3768], [6.3794, 6.3794, -2.3768]],
  "species": ["La", "La", "La", "La", "La", "Mg", "Mg", "Mg", "Mg", "In", "In", "In", "In"],
  "frac_coords": [[0.0000, 0.0000, 0.0000], [0.2957, 0.3672, 0.6628], [0.3672, 0.7043, 0.0715], [0.6328, 0.2957, 0.9285], [0.7043, 0.6328, 0.3372], [0.1038, 0.5765, 0.6803], [0.4235, 0.1038, 0.5273], [0.5765, 0.8962, 0.4727], [0.8962, 0.4235, 0.3197], [0.0551, 0.2555, 0.3106], [0.2555, 0.9449, 0.2004], [0.7445, 0.0551, 0.7996], [0.9449, 0.7445, 0.6894]]
}

---

# 6
{
  "formula": "La2Mg12In7",
  "functional": "PBE",
  "state": "relaxed",
  "mass_density_g_cm3": 4.3,
  "e_tot_ev_per_cell": -51.9,
  "ef_mev_per_atom": -178,
  "crystal_system": "trigonal",
  "cell": [[11.6667, 0.0000, 0.0000], [-5.8334, 10.1037, 0.0000], [0.0000, 0.0000, 4.5405]],
  "species": ["La", "La", "Mg", "Mg", "Mg", "Mg", "Mg", "Mg", "Mg", "Mg", "Mg", "Mg", "Mg", "Mg", "In", "In", "In", "In", "In", "In", "In"],
  "frac_coords": [[0.3333, 0.6667, 0.2610], [0.6667, 0.3333, 0.7390], [0.0409, 0.4286, 0.7504], [0.1097, 0.2676, 0.2451], [0.1579, 0.8903, 0.2451], [0.2676, 0.1579, 0.7549], [0.3877, 0.9591, 0.7504], [0.4286, 0.3877, 0.2496], [0.5714, 0.6123, 0.7504], [0.6123, 0.0409, 0.2496], [0.7324, 0.8421, 0.2451], [0.8421, 0.1097, 0.7549], [0.8903, 0.7324, 0.7549], [0.9591, 0.5714, 0.2496], [0.0000, 0.0000, 0.5000], [0.1365, 0.7113, 0.7520], [0.2887, 0.4252, 0.7520], [0.4252, 0.1365, 0.2480], [0.5748, 0.8635, 0.7520], [0.7113, 0.5748, 0.2480], [0.8635, 0.2887, 0.2480]]
}